# 1
A relaxed CaLa2Cu crystal. Source: the Alexandria database, functional GGA-PBEsol.

a b c (Å): 3.584 3.584 8.924
angles (deg): 90.00 90.00 90.00
Fractional coordinates of all 4 atoms:
Ca  0.000  0.000  0.000
La  0.000  0.000  0.385
La  0.500  0.500  0.669
Cu  0.500  0.500  0.198

energy of formation	-0.002	eV per atom
energy relative to the lowest polymorph listed for this composition	0.000	eV/atom

---

# 2
A relaxed InCuAgSe2 crystal. Source: the Alexandria database, functional GGA-PBEsol.

a b c (Å): 5.215 5.215 5.046
angles (deg): 90.00 90.00 90.00
Fractional coordinates of all 5 atoms:
In  0.000  0.000  0.000
Cu  0.500  0.500  0.500
Ag  0.000  0.000  0.500
Se  0.000  0.500  0.000
Se  0.500  0.000  0.000

total DFT energy (no corrections)	-2.77	eV per atom

---

# 3
A relaxed SrLaCoO4 crystal. Source: the Alexandria database, functional GGA-PBEsol.

a b c (Å): 6.678 6.678 5.349
angles (deg): 90.00 90.00 132.91
Fractional coordinates of all 14 atoms:
Sr  0.106  0.894  0.750
Sr  0.894  0.106  0.250
La  0.386  0.614  0.750
La  0.614  0.386  0.250
Co  0.250  0.750  0.250
Co  0.750  0.250  0.750
O  0.000  0.500  0.000
O  0.000  0.500  0.500
O  0.092  0.908  0.250
O  0.418  0.582  0.250
O  0.500  0.000  0.000
O  0.500  0.000  0.500
O  0.582  0.418  0.750
O  0.908  0.092  0.750

energy relative to the lowest polymorph listed for this composition	0.006	eV/atom

---

| no. | volume (Å³ per atom) |
| --- | --- |
| 1 | 28.653 |
| 2 | 27.447 |
| 3 | 12.482 |